A plane-wave DFT calculation with GGA-PBEsol was carried out for crystalline AlHgTeN2 at its relaxed geometry.

abc: 3.866 3.866 5.906
angles: 90.00 90.00 90.00
Atoms (fractional coordinates):
N 0.000 0.500 0.000
Hg 0.500 0.500 0.500
N 0.500 0.000 0.000
Te 0.000 0.000 0.500
Al 0.000 0.000 0.000

Values from the calculation:
The calculation puts the formation energy without anion corrections at 3.8 eV/f.u.

---

A plane-wave DFT calculation with GGA-PBEsol was carried out for crystalline Na2AlHg2 at its relaxed geometry.

abc: 4.044 4.044 8.655
angles: 103.51 103.51 90.00
Atoms (fractional coordinates):
Al 0.000 0.000 0.000
Hg 0.750 0.250 0.500
Na 0.401 0.401 0.801
Hg 0.250 0.750 0.500
Na 0.599 0.599 0.199

Values from the calculation:
The calculation puts the energy of formation at 74 kJ/mol of formula units.

---

A plane-wave DFT calculation with GGA-PBEsol was carried out for crystalline Na2Al2Hg at its relaxed geometry.

abc: 2.879 9.264 9.264
angles: 90.00 90.00 90.00
Atoms (fractional coordinates):
Al 0.500 0.599 0.901
Na 0.000 0.806 0.694
Hg 0.000 0.000 0.000
Al 0.500 0.099 0.599
Hg 0.000 0.500 0.500
Na 0.000 0.306 0.806
Al 0.500 0.901 0.401
Al 0.500 0.401 0.099
Na 0.000 0.694 0.194
Na 0.000 0.194 0.306

Values from the calculation:
The calculation puts the energy of formation at 120 kJ/mol of formula units.

---

A plane-wave DFT calculation with GGA-PBEsol was carried out for crystalline Nb3AlHg at its relaxed geometry.

abc: 4.969 4.969 4.969
angles: 90.00 90.00 90.00
Atoms (fractional coordinates):
Al 0.500 0.500 0.500
Nb 0.000 0.500 0.000
Nb 0.000 0.000 0.500
Nb 0.500 0.000 0.000
Hg 0.000 0.000 0.000

Values from the calculation:
The calculation puts the energy of formation at 886 kJ/mol of formula units.

---

A plane-wave DFT calculation with GGA-PBEsol was carried out for crystalline AlNi2Hg at its relaxed geometry.

abc: 2.822 4.184 5.131
angles: 100.37 90.00 109.70
Atoms (fractional coordinates):
Ni 0.259 0.518 0.296
Hg 0.500 0.000 0.000
Al 0.000 0.000 0.500
Ni 0.741 0.482 0.704

Values from the calculation:
The calculation puts the energy of formation at -32 kJ/mol of formula units. The offset from the most stable computed form is 19.1 kJ per mole of atoms.

---

A plane-wave DFT calculation with GGA-PBEsol was carried out for crystalline Al2NiHg at its relaxed geometry.

abc: 2.875 2.875 7.539
angles: 90.00 90.00 90.00
Atoms (fractional coordinates):
Ni 0.500 0.500 0.500
Hg 0.500 0.500 0.000
Al 0.000 0.000 0.310
Al 0.000 0.000 0.690

Values from the calculation:
The calculation puts the energy of formation at -81 kJ/mol of formula units.

---

A plane-wave DFT calculation with GGA-PBEsol was carried out for crystalline Al2NiHg at its relaxed geometry.

abc: 4.441 4.441 4.441
angles: 60.00 60.00 60.00
Atoms (fractional coordinates):
Al 0.750 0.750 0.750
Al 0.000 0.000 0.000
Ni 0.250 0.250 0.250
Hg 0.500 0.500 0.500

Values from the calculation:
The calculation puts the energy of formation at 52 kJ/mol of formula units.

---

A plane-wave DFT calculation with GGA-PBEsol was carried out for crystalline Al2NiHg at its relaxed geometry.

abc: 3.873 3.873 4.864
angles: 113.46 113.46 90.00
Atoms (fractional coordinates):
Al 0.000 0.000 0.000
Ni 0.250 0.750 0.500
Hg 0.500 0.500 0.000
Al 0.750 0.250 0.500

Values from the calculation:
The calculation puts the energy of formation at -16 kJ/mol of formula units.

---

A plane-wave DFT calculation with GGA-PBEsol was carried out for crystalline AlNi2Hg at its relaxed geometry.

abc: 2.876 2.876 6.436
angles: 90.00 90.00 90.00
Atoms (fractional coordinates):
Hg 0.500 0.500 0.500
Ni 0.000 0.000 0.212
Ni 0.000 0.000 0.788
Al 0.500 0.500 0.000

Values from the calculation:
The calculation puts the energy of formation at -108 kJ/mol of formula units. The offset from the most stable computed form is 0.0 kJ per mole of atoms.

---

A plane-wave DFT calculation with GGA-PBEsol was carried out for crystalline Al2NiHg at its relaxed geometry.

abc: 2.946 2.946 8.596
angles: 80.13 80.13 60.00
Atoms (fractional coordinates):
Ni 0.257 0.257 0.229
Al 0.746 0.746 0.762
Al 0.990 0.990 0.029
Hg 0.507 0.507 0.480

Values from the calculation:
The calculation puts the energy of formation at -5 kJ/mol of formula units.

---

A plane-wave DFT calculation with GGA-PBEsol was carried out for crystalline AlNi2Hg at its relaxed geometry.

abc: 3.384 3.978 3.978
angles: 90.03 90.00 90.00
Atoms (fractional coordinates):
Ni 0.000 0.500 0.000
Hg 0.500 0.500 0.500
Al 0.500 0.000 0.000
Ni 0.000 0.000 0.500

Values from the calculation:
The calculation puts the energy of formation at -69 kJ/mol of formula units. The offset from the most stable computed form is 9.7 kJ per mole of atoms.

---

A plane-wave DFT calculation with GGA-PBEsol was carried out for crystalline AlNiHgSe2 at its relaxed geometry.

abc: 4.849 5.246 5.246
angles: 90.00 90.00 90.00
Atoms (fractional coordinates):
Al 0.500 0.000 0.000
Hg 0.000 0.000 0.000
Se 0.000 0.000 0.500
Ni 0.500 0.500 0.500
Se 0.000 0.500 0.000

Values from the calculation:
The calculation puts the formation energy without anion corrections at 5.8 eV/f.u.